[1]
Here is a relaxed structure of RbSnCl3 from Alexandria. Energies are from PBE.

Geometry as extended XYZ:
```
10
Lattice="-3.7838 3.3276 6.6201 2.7197 -1.3090 7.7528 3.5175 6.0371 4.5163" Properties=species:S:1:pos:R:3 pbc="T T T"
Sn 0.8248 2.7083 6.3505
Sn 1.6286 5.3474 12.5387
Rb 0.3247 1.0662 2.5000
Rb 2.1287 6.9895 16.3891
Cl 0.7825 6.0224 6.5215
Cl 3.6664 1.9449 7.8859
Cl 3.9146 6.2129 10.2937
Cl -1.2129 6.1108 11.0033
Cl 1.6710 2.0332 12.3677
Cl -1.4611 1.8427 8.5954
```

Output
* raw formation energy: -1.4181 eV per atom
* M_tot: 0.00 μB/f.u.
* crystal system: trigonal

[2]
Here is a relaxed structure of RbSnCl3 from Alexandria. Energies are from PBE.

Geometry as extended XYZ:
```
5
Lattice="-2.0805 -3.1940 2.7891 -2.1569 -1.8777 -3.7592 6.3091 -5.0626 -1.0912" Properties=species:S:1:pos:R:3 pbc="T T T"
Sn 1.5459 -5.4765 -1.1188
Rb 0.8316 -0.6673 -0.1438
Cl 4.7574 -3.8175 -0.8228
Cl 1.4739 -3.6144 0.9597
Cl 1.4357 -2.9563 -2.3144
```

Output
* raw formation energy: -1.2147 eV per atom
* M_tot: 0.00 μB/f.u.
* crystal system: tetragonal

[3]
Here is a relaxed structure of Rb3Sn4Cl12 from Alexandria. Energies are from PBE.

Geometry as extended XYZ:
```
19
Lattice="-3.9341 3.0990 -8.0410 7.2888 -5.6961 -2.0413 -6.4430 -4.7937 5.0248" Properties=species:S:1:pos:R:3 pbc="T T T"
Rb 1.6774 -1.2985 -5.0411
Rb -3.5112 -2.1458 -6.5493
Rb 2.1003 -6.5434 -3.5494
Sn -1.5442 -3.6954 -2.5285
Sn -1.1213 -8.9402 -1.0368
Sn 0.1331 -4.9938 -7.5697
Sn -0.2897 0.2510 -9.0615
Cl -1.7686 -7.9111 1.4490
Cl -1.3195 0.5202 -6.5071
Cl -2.1360 -3.3546 0.1531
Cl -5.6878 -3.1271 1.4905
Cl -6.6744 -1.8099 -4.4710
Cl -0.9213 -6.3170 -1.8967
Cl -4.2306 -4.2552 -2.8890
Cl 3.5861 -5.5810 -0.5865
Cl -0.9521 -4.0363 -5.2112
Cl 2.5996 -4.2637 -6.5480
Cl -2.1669 -1.0737 -3.1609
Cl 1.1424 -3.1356 -2.1685
```

Output
* raw formation energy: -1.3117 eV per atom
* M_tot: 0.00 μB/f.u.
* crystal system: cubic

[4]
Here is a relaxed structure of RbSnCl3 from Alexandria. Energies are from PBE.

Geometry as extended XYZ:
```
5
Lattice="5.0158 0.0000 4.1405 -2.5079 4.3438 4.1405 -2.5079 -4.3438 4.1405" Properties=species:S:1:pos:R:3 pbc="T T T"
Sn 0.0000 0.0000 1.3713
Rb 0.0000 0.0000 9.6990
Cl 1.4635 -2.5349 8.2138
Cl -2.9270 0.0000 8.2138
Cl 1.4635 2.5349 8.2138
```

Output
* raw formation energy: -1.3932 eV per atom
* M_tot: 0.00 μB/f.u.
* crystal system: trigonal

[5]
Here is a relaxed structure of Rb3Sn2Cl7 from Alexandria. Energies are from PBE.

Geometry as extended XYZ:
```
12
Lattice="5.5100 0.0000 -1.0355 -0.1946 5.5065 -1.0355 -0.1398 -0.1448 14.4335" Properties=species:S:1:pos:R:3 pbc="T T T"
Rb 1.6054 1.6631 8.5423
Rb 3.5702 3.6986 3.8201
Rb 2.6577 2.7533 -1.0355
Sn 0.5207 0.5395 2.7708
Sn 4.6549 4.8223 9.5917
Cl 0.0000 0.0000 0.0000
Cl 4.7621 2.0793 10.1623
Cl 1.9098 4.8326 10.1623
Cl 0.4135 3.2824 2.2002
Cl 3.2658 0.5292 2.2002
Cl 1.0185 1.0551 5.4195
Cl 4.1571 4.3066 6.9430
```

Output
* raw formation energy: -1.4849 eV per atom
* M_tot: 0.00 μB/f.u.
* crystal system: tetragonal
* E above lowest polymorph: 0.000 eV/atom

[6]
Here is a relaxed structure of RbSn2Cl5 from Alexandria. Energies are from PBE.

Geometry as extended XYZ:
```
8
Lattice="-3.9755 0.3551 -1.4288 0.1978 -4.0200 -7.8389 -2.1914 -8.2361 -2.2386" Properties=species:S:1:pos:R:3 pbc="T T T"
Rb 0.0000 0.0000 0.0000
Sn -4.6261 -7.9760 -7.9784
Sn -1.3430 -3.9250 -3.5279
Cl -0.9968 -6.1281 -5.0388
Cl -2.6560 -2.9692 -5.9264
Cl -3.3131 -8.9319 -5.5799
Cl -2.0650 -6.7296 -8.5053
Cl -3.9041 -5.1715 -3.0010
```

Output
* raw formation energy: -1.2357 eV per atom
* M_tot: 0.00 μB/f.u.
* crystal system: orthorhombic

[7]
Here is a relaxed structure of RbSn6Cl12 from Alexandria. Energies are from PBE.

Geometry as extended XYZ:
```
19
Lattice="-2.8156 -6.6762 5.4597 -5.3891 0.1468 -7.2969 8.4228 -1.9562 -2.7455" Properties=species:S:1:pos:R:3 pbc="T T T"
Rb 0.0000 0.0000 0.0000
Sn 3.0154 -2.3685 -2.5218
Sn 2.5589 -6.4413 -1.2058
Sn 0.6655 -4.0588 -5.7074
Sn -2.7974 -6.1172 -2.0608
Sn -2.3408 -2.0444 -3.3768
Sn -0.4474 -4.4268 1.1248
Cl 1.8936 -3.2814 -0.3181
Cl 0.2654 -1.6511 -3.4144
Cl -1.9501 -3.1968 -0.6577
Cl -1.6755 -5.2042 -4.2646
Cl -0.0473 -6.8345 -1.1682
Cl 2.1681 -5.2889 -3.9249
Cl 0.0220 -2.0071 -8.2652
Cl -5.4347 -2.1308 -4.6363
Cl 5.5068 -1.8253 -4.6814
Cl 0.1961 -6.4786 3.6825
Cl 5.6528 -6.3549 0.0537
Cl -5.2887 -6.6604 0.0987
```

Output
* raw formation energy: -1.0046 eV per atom
* M_tot: 0.00 μB/f.u.
* crystal system: trigonal

[8]
Here is a relaxed structure of RbSn4Cl8 from Alexandria. Energies are from PBE.

Geometry as extended XYZ:
```
13
Lattice="-6.8909 4.7350 3.1935 1.3755 -0.2798 -8.8393 -1.8335 -8.4273 2.4158" Properties=species:S:1:pos:R:3 pbc="T T T"
Rb -0.2290 -4.3535 -3.2118
Sn -1.3074 1.0561 -1.3383
Sn -4.2080 3.3991 -4.3075
Sn -0.8794 0.6815 -5.8779
Sn -6.4695 -4.6535 2.6479
Cl -5.1488 1.9481 2.2152
Cl -0.4738 -0.9970 -3.2467
Cl -4.4627 1.7837 -1.5076
Cl -1.3523 -0.9435 0.5765
Cl -5.9967 -3.0285 -3.8065
Cl -2.8862 -5.7557 -1.7224
Cl -6.8751 -2.9751 0.0167
Cl -2.2001 -5.9201 -5.4452
```

Output
* raw formation energy: -1.0142 eV per atom
* M_tot: 0.00 μB/f.u.
* crystal system: monoclinic
* E above lowest polymorph: 0.000 eV/atom

[9]
Here is a relaxed structure of RbSn2Cl8 from Alexandria. Energies are from PBE.

Geometry as extended XYZ:
```
11
Lattice="-4.0565 -4.9638 -4.0749 6.0906 -5.4512 0.5797 -5.9088 0.1671 5.6777" Properties=species:S:1:pos:R:3 pbc="T T T"
Rb -5.9088 0.1671 5.6776
Sn -2.7473 -2.7318 3.1363
Sn -1.1273 -7.5162 -0.9539
Cl 1.6510 -4.1148 1.8375
Cl -5.5255 -6.1332 0.3447
Cl 1.2139 -7.9049 -1.3517
Cl -2.2486 -2.4219 0.8026
Cl -2.1600 -4.9655 3.8113
Cl -5.0884 -2.3431 3.5341
Cl -1.6261 -7.8260 1.3797
Cl -1.7146 -5.2824 -1.6288
```

Output
* raw formation energy: -1.0564 eV per atom
* M_tot: 0.00 μB/f.u.
* crystal system: trigonal
* E above lowest polymorph: 0.003 eV/atom

[10]
Here is a relaxed structure of Rb6SnCl8 from Alexandria. Energies are from PBE.

Geometry as extended XYZ:
```
15
Lattice="8.1343 0.2514 2.8130 2.0827 7.8672 2.8130 0.3164 0.2514 8.6012" Properties=species:S:1:pos:R:3 pbc="T T T"
Rb 1.7272 4.0008 7.5230
Rb 4.5893 7.5914 7.9306
Rb 5.1243 2.7556 10.3795
Rb 5.4091 5.6145 3.8477
Rb 5.9441 0.7786 6.2966
Rb 8.8062 4.3693 6.7041
Sn 0.0000 0.0000 0.0000
Cl 3.0411 5.6011 10.1517
Cl 2.6167 6.6730 5.3884
Cl 3.0840 1.0415 8.3556
Cl 6.9459 5.5194 9.3816
Cl 3.5875 2.8507 4.8455
Cl 7.4494 7.3286 5.8716
Cl 7.9167 1.6971 8.8388
Cl 7.4923 2.7689 4.0754
```

Output
* raw formation energy: -1.7425 eV per atom
* M_tot: 0.00 μB/f.u.
* crystal system: trigonal

[11]
Here is a relaxed structure of RbSnCl3 from Alexandria. Energies are from PBE.

Geometry as extended XYZ:
```
5
Lattice="-4.0710 1.6761 -0.4234 -3.0026 -6.4998 3.1398 1.4471 4.9904 5.8414" Properties=species:S:1:pos:R:3 pbc="T T T"
Sn -0.5280 -0.1099 4.6422
Rb -0.8755 5.0870 5.4554
Cl -2.2260 1.0948 2.6369
Cl -2.8524 0.4870 6.2537
Cl 0.3668 2.2007 5.1855
```

Output
* raw formation energy: -1.3309 eV per atom
* M_tot: 0.00 μB/f.u.
* crystal system: orthorhombic

[12]
Here is a relaxed structure of Rb2Sn2Cl7 from Alexandria. Energies are from PBE.

Geometry as extended XYZ:
```
11
Lattice="-3.3225 2.1933 5.3861 -3.6572 -6.9280 1.0897 5.9830 -1.6716 4.8959" Properties=species:S:1:pos:R:3 pbc="T T T"
Rb -1.0182 -5.5225 2.2532
Rb 3.3030 -3.1663 3.9593
Sn -1.3170 -1.0708 4.8143
Sn 0.1024 -5.5231 7.3682
Cl 0.2224 0.4073 6.3310
Cl -3.8295 -1.8021 4.7312
Cl 0.0398 -2.3236 3.1082
Cl -1.8291 0.9840 3.2738
Cl -0.9416 -3.0674 6.6209
Cl -0.4691 -6.8082 5.2832
Cl 2.4148 -5.2357 6.4218
```

Output
* raw formation energy: -1.3078 eV per atom
* M_tot: 0.00 μB/f.u.
* crystal system: monoclinic
* E above lowest polymorph: 0.000 eV/atom

Number 1: total DFT energy (no corrections) -3.520 eV per atom. Number 2: total DFT energy (no corrections) -3.317 eV per atom. Number 3: total DFT energy (no corrections) -3.474 eV per atom. Number 4: total DFT energy (no corrections) -3.495 eV per atom. Number 5: total DFT energy (no corrections) -3.471 eV per atom. Number 6: total DFT energy (no corrections) -3.512 eV per atom. Number 7: total DFT energy (no corrections) -3.486 eV per atom. Number 8: total DFT energy (no corrections) -3.457 eV per atom. Number 9: total DFT energy (no corrections) -3.215 eV per atom. Number 10: total DFT energy (no corrections) -3.381 eV per atom. Number 11: total DFT energy (no corrections) -3.433 eV per atom. Number 12: total DFT energy (no corrections) -3.387 eV per atom.